The following is a DFT calculation (PBE-GGA) of a relaxed structure of ThRh3Pb.

## Properties
As for the formation energy: -0.34 eV/atom.

a b c (Å): 12.051 8.569 8.911
angles (deg): 90.00 90.00 90.00
Space group Cmcm (No. 63)
One atom of each set of equivalent atoms:
1 Th 0.000 0.007 0.250
2 Th 0.000 0.436 0.250
3 Rh 0.000 0.202 0.016
4 Rh 0.117 0.500 0.000
5 Rh 0.119 0.273 0.750
6 Pb 0.250 0.250 0.000



The following is a DFT calculation (PBE-GGA) of a relaxed structure of Tb2CdAgHg4.

## Properties
As for the formation energy: -0.36 eV/atom.

a b c (Å): 5.0513 5.0513 24.8720
angles (deg): 90.00 90.00 120.00
Space group R-3m (No. 166, hexagonal axes)
One atom of each set of equivalent atoms:
1 Tb 0.0000 0.0000 0.2500
2 Cd 0.0000 0.0000 0.0000
3 Ag 0.0000 0.0000 0.5000
4 Hg 0.0000 0.0000 0.1268
5 Hg 0.0000 0.0000 0.3765



The following is a DFT calculation (PBE-GGA) of a relaxed structure of Ac4GaOsI2.

## Properties
The value obtained for the uncorrected formation energy is -5.66 eV/f.u.

a b c (Å): 7.850 4.529 8.908
angles (deg): 90.00 107.22 90.00
Space group P2/m (No. 10)
One atom of each set of equivalent atoms:
1 Ac 0.218 0.000 0.187
2 Ac 0.241 0.500 0.809
3 Ga 0.500 0.000 0.000
4 Os 0.000 0.500 0.000
5 I 0.000 0.000 0.500
6 I 0.500 0.500 0.500



The following is a DFT calculation (PBE-GGA) of a relaxed structure of BaNiBr2.

## Properties
The value obtained for the uncorrected formation energy is -2.49 eV/f.u. The energy above the lowest structure with this stoichiometry comes out at 419 meV/atom.

a b c (Å): 4.469 4.469 11.484
angles (deg): 90.00 90.00 90.00
Space group I-4m2 (No. 119)
One atom of each set of equivalent atoms:
1 Ba 0.000 0.000 0.000
2 Ni 0.000 0.500 0.250
3 Br 0.000 0.000 0.500
4 Br 0.000 0.500 0.750



The following is a DFT calculation (PBE-GGA) of a relaxed structure of Pb2WBr.

## Properties
The value obtained for the uncorrected formation energy is 4.39 eV/f.u. The energy above the lowest structure with this stoichiometry comes out at 618 meV/atom.

a b c (Å): 7.487 7.487 7.487
angles (deg): 90.00 90.00 90.00
Space group Fm-3m (No. 225)
One atom of each set of equivalent atoms:
1 Pb 0.250 0.250 0.250
2 W 0.000 0.000 0.000
3 Br 0.000 0.000 0.500



The following is a DFT calculation (PBE-GGA) of a relaxed structure of BaLi5Tl7.

## Properties
As for the formation energy: -0.23 eV/atom.

a b c (Å): 6.060 10.362 10.256
angles (deg): 90.00 90.00 90.00
Space group Imm2 (No. 44)
One atom of each set of equivalent atoms:
1 Ba 0.000 0.000 0.000
2 Li 0.000 0.500 0.262
3 Li 0.242 0.253 0.742
4 Tl 0.000 0.000 0.349
5 Tl 0.000 0.000 0.655
6 Tl 0.000 0.292 0.479
7 Tl 0.000 0.345 0.011
8 Tl 0.000 0.500 0.727



The following is a DFT calculation (PBE-GGA) of a relaxed structure of Tl3Sn5S12.

## Properties
The value obtained for the uncorrected formation energy is -4.77 eV/f.u.

a b c (Å): 16.211 16.211 16.211
angles (deg): 90.00 90.00 90.00
Space group Ia-3d (No. 230)
One atom of each set of equivalent atoms:
1 Tl 0.000 0.250 0.125
2 Sn 0.000 0.000 0.000
3 Sn 0.000 0.250 0.375
4 S 0.031 0.058 0.647



The following is a DFT calculation (PBE-GGA) of a relaxed structure of AcHoRh2.

## Properties
As for the formation energy: -0.42 eV/atom. The energy above the lowest structure with this stoichiometry comes out at 245 meV/atom.

a b c (Å): 3.512 7.502 7.510
angles (deg): 90.00 90.00 90.00
Space group Amm2 (No. 38)
One atom of each set of equivalent atoms:
1 Ac 0.000 0.000 0.000
2 Ho 0.500 0.000 0.501
3 Rh 0.500 0.249 0.250



The following is a DFT calculation (PBE-GGA) of a relaxed structure of Sm3DyTh2.

## Properties
As for the formation energy: 0.06 eV/atom. The energy above the lowest structure with this stoichiometry comes out at 20 meV/atom.

a b c (Å): 5.088 15.203 5.102
angles (deg): 90.00 90.00 90.00
Space group Cmmm (No. 65)
One atom of each set of equivalent atoms:
1 Sm 0.000 0.000 0.000
2 Sm 0.000 0.169 0.500
3 Dy 0.000 0.500 0.500
4 Th 0.000 0.333 0.000



The following is a DFT calculation (PBE-GGA) of a relaxed structure of CuMoAu.

## Properties
As for the formation energy: 0.35 eV/atom. The energy above the lowest structure with this stoichiometry comes out at 189 meV/atom.

a b c (Å): 2.705 4.021 8.440
angles (deg): 90.00 90.00 90.00
Space group Imm2 (No. 44)
One atom of each set of equivalent atoms:
1 Cu 0.000 0.000 0.000
2 Mo 0.000 0.000 0.656
3 Au 0.000 0.000 0.331



The following is a DFT calculation (PBE-GGA) of a relaxed structure of CaFe2As2.

## Properties
As for the formation energy: -0.54 eV/atom.

a b c (Å): 3.985 3.985 10.410
angles (deg): 90.00 90.00 90.00
Space group I4/mmm (No. 139)
One atom of each set of equivalent atoms:
1 Ca 0.000 0.000 0.000
2 Fe 0.000 0.500 0.250
3 As 0.000 0.000 0.362



The following is a DFT calculation (PBE-GGA) of a relaxed structure of Tl2InNi2.

## Properties
As for the formation energy: 0.40 eV/atom. The energy above the lowest structure with this stoichiometry comes out at 208 meV/atom.

a b c (Å): 4.336 4.336 11.331
angles (deg): 90.00 90.00 90.00
Space group I4/mmm (No. 139)
One atom of each set of equivalent atoms:
1 Tl 0.000 0.500 0.250
2 In 0.000 0.000 0.000
3 Ni 0.000 0.000 0.398



The following is a DFT calculation (PBE-GGA) of a relaxed structure of SrAcAs2Pt2.

## Properties
As for the formation energy: -1.16 eV/atom.

a b c (Å): 4.3865 4.3865 8.7823
angles (deg): 90.00 90.00 120.00
Space group P-3m1 (No. 164)
One atom of each set of equivalent atoms:
1 Sr 0.0000 0.0000 0.0000
2 Ac 0.0000 0.0000 0.5000
3 As 0.3333 0.6667 0.7501
4 Pt 0.3333 0.6667 0.2545



The following is a DFT calculation (PBE-GGA) of a relaxed structure of AcTh2P3Rh12.

## Properties
As for the formation energy: -0.41 eV/atom.

a b c (Å): 8.6634 8.6634 14.9750
angles (deg): 90.00 90.00 120.00
Space group R-3m (No. 166, hexagonal axes)
One atom of each set of equivalent atoms:
1 Ac 0.0000 0.0000 0.0000
2 Th 0.0000 0.0000 0.3944
3 P 0.0000 0.5000 0.5000
4 Rh 0.0343 0.5172 0.3508
5 Rh 0.0473 0.5237 0.8561



The following is a DFT calculation (PBE-GGA) of a relaxed structure of Tb4NdSm4.

## Properties
As for the formation energy: 0.01 eV/atom.

a b c (Å): 6.240 9.537 10.811
angles (deg): 100.87 106.76 96.23
Space group P-1 (No. 2)
One atom of each set of equivalent atoms:
1 Tb 0.248 0.249 0.415
2 Tb 0.250 0.918 0.193
3 Tb 0.251 0.584 0.972
4 Tb 0.251 0.917 0.862
5 Nd 0.250 0.584 0.305
6 Sm 0.249 0.249 0.083
7 Sm 0.250 0.249 0.751
8 Sm 0.251 0.584 0.640
9 Sm 0.251 0.917 0.528



The following is a DFT calculation (PBE-GGA) of a relaxed structure of Ag2GePd6.

## Properties
As for the formation energy: -0.16 eV/atom.

a b c (Å): 2.887 13.125 7.584
angles (deg): 90.00 90.00 90.00
Space group Amm2 (No. 38)
One atom of each set of equivalent atoms:
1 Ag 0.000 0.167 0.000
2 Ge 0.500 0.000 0.501
3 Pd 0.000 0.000 0.775
4 Pd 0.000 0.136 0.363
5 Pd 0.500 0.000 0.134
6 Pd 0.500 0.182 0.682



The following is a DFT calculation (PBE-GGA) of a relaxed structure of La6SnPb2.

## Properties
As for the formation energy: -0.53 eV/atom. The energy above the lowest structure with this stoichiometry comes out at 0 meV/atom.

a b c (Å): 4.524 15.385 8.882
angles (deg): 90.00 90.00 90.00
Space group Amm2 (No. 38)
One atom of each set of equivalent atoms:
1 La 0.000 0.000 0.000
2 La 0.000 0.133 0.599
3 La 0.500 0.000 0.327
4 La 0.500 0.203 0.936
5 Sn 0.500 0.000 0.733
6 Pb 0.000 0.167 0.233



The following is a DFT calculation (PBE-GGA) of a relaxed structure of LaGa2IrI.

## Properties
The value obtained for the uncorrected formation energy is -3.79 eV/f.u.

a b c (Å): 4.873 4.873 5.637
angles (deg): 90.00 90.00 90.00
Space group P4/mmm (No. 123)
One atom of each set of equivalent atoms:
1 La 0.000 0.000 0.000
2 Ga 0.000 0.500 0.500
3 Ir 0.000 0.000 0.500
4 I 0.500 0.500 0.000



The following is a DFT calculation (PBE-GGA) of a relaxed structure of ZrTlNi2.

## Properties
As for the formation energy: 0.09 eV/atom.

a b c (Å): 6.446 6.446 6.446
angles (deg): 90.00 90.00 90.00
Space group F-43m (No. 216)
One atom of each set of equivalent atoms:
1 Zr 0.000 0.000 0.000
2 Tl 0.250 0.250 0.250
3 Ni 0.000 0.000 0.500
4 Ni 0.250 0.250 0.750



The following is a DFT calculation (PBE-GGA) of a relaxed structure of K4Sm3TiS8.

## Properties
The value obtained for the uncorrected formation energy is -27.00 eV/f.u.

a b c (Å): 8.0703 8.0703 22.1194
angles (deg): 90.00 90.00 120.00
Space group R-3m (No. 166, hexagonal axes)
One atom of each set of equivalent atoms:
1 K 0.0000 0.0000 0.0000
2 K 0.0000 0.5000 0.0000
3 Sm 0.0000 0.5000 0.5000
4 Ti 0.0000 0.0000 0.5000
5 S 0.0000 0.0000 0.2365
6 S 0.0230 0.5115 0.2325



no.,VASP energy (eV per atom),theoretical density (g/cm3),V (Å³ per cell)
1,-6.9767,10.8,920.2
2,-2.1430,12.2,549.6
3,-4.9311,7.8,302.6
4,-3.3845,5.2,229.3
5,-4.4138,10.7,419.8
6,-2.3871,8.3,644.0
7,-4.0706,5.0,4260.1
8,-6.2691,10.0,197.9
9,-5.5421,9.1,394.6
10,-5.7219,12.9,91.8
11,-6.1805,6.1,165.3
12,-3.4056,10.0,213.0
13,-5.6933,9.7,146.3
14,-7.2683,10.3,973.4
15,-4.6712,7.7,595.8
16,-4.7660,10.7,287.4
17,-5.0802,7.3,618.2
18,-5.0370,7.4,133.8
19,-5.5309,10.2,267.8
20,-5.4038,3.6,1247.6